DFT (PBE) results for a geometry-optimized Y2ZrAu2 structure.

Properties
Its distance to the lowest polymorph of the same formula is 0.0 meV/atom. The final energy is -6.18 eV/atom. The formation energy comes out at -0.57 eV/atom. The magnetic moment comes out at 0.0 μB per formula unit. Its crystal system is tetragonal.

Cell: 8.052 8.052 3.717 Å, 90.00 90.00 90.00°
Element x y z (fractional)
Y 0.167 0.333 0.000
Y 0.333 0.833 0.000
Y 0.667 0.167 0.000
Y 0.833 0.667 0.000
Zr 0.000 0.000 0.500
Zr 0.500 0.500 0.500
Au 0.133 0.633 0.500
Au 0.367 0.133 0.500
Au 0.633 0.867 0.500
Au 0.867 0.367 0.500

DFT (PBE) results for a geometry-optimized YZrAu structure.

Properties
Its distance to the lowest polymorph of the same formula is 1065.3 meV/atom. The final energy is -5.54 eV/atom. The formation energy comes out at 0.56 eV/atom. The magnetic moment comes out at 0.0 μB per formula unit. Its crystal system is cubic.

Cell: 6.780 6.780 6.780 Å, 90.00 90.00 90.00°
Element x y z (fractional)
Y 0.000 0.000 0.000
Y 0.000 0.500 0.500
Y 0.500 0.000 0.500
Y 0.500 0.500 0.000
Zr 0.250 0.250 0.750
Zr 0.250 0.750 0.250
Zr 0.750 0.250 0.250
Zr 0.750 0.750 0.750
Au 0.250 0.250 0.250
Au 0.250 0.750 0.750
Au 0.750 0.250 0.750
Au 0.750 0.750 0.250

DFT (PBE) results for a geometry-optimized YZrAu structure.

Properties
Its distance to the lowest polymorph of the same formula is 269.9 meV/atom. The final energy is -6.33 eV/atom. The formation energy comes out at -0.24 eV/atom. The magnetic moment comes out at 0.0 μB per formula unit. Its crystal system is trigonal.

Cell: 4.781 4.781 3.730 Å, 90.00 90.00 120.00°
Element x y z (fractional)
Y 0.000 0.000 0.000
Zr 0.667 0.333 0.472
Au 0.333 0.667 0.575

DFT (PBE) results for a geometry-optimized YZrAu structure.

Properties
Its distance to the lowest polymorph of the same formula is 72.3 meV/atom. The final energy is -6.53 eV/atom. The formation energy comes out at -0.43 eV/atom. The magnetic moment comes out at 0.0 μB per formula unit. Its crystal system is orthorhombic.

Cell: 4.582 11.532 5.581 Å, 90.00 90.00 90.00°
Element x y z (fractional)
Y 0.000 0.205 0.000
Y 0.000 0.795 0.500
Y 0.500 0.295 0.500
Y 0.500 0.705 0.000
Zr 0.000 0.494 0.239
Zr 0.000 0.506 0.739
Zr 0.500 0.006 0.739
Zr 0.500 0.994 0.239
Au 0.000 0.101 0.493
Au 0.000 0.899 0.993
Au 0.500 0.399 0.993
Au 0.500 0.601 0.493

DFT (PBE) results for a geometry-optimized YZrAu structure.

Properties
Its distance to the lowest polymorph of the same formula is 124.0 meV/atom. The final energy is -6.48 eV/atom. The formation energy comes out at -0.38 eV/atom. The magnetic moment comes out at 0.7 μB per formula unit. Its crystal system is trigonal.

Cell: 4.973 4.973 6.586 Å, 90.00 90.00 120.00°
Element x y z (fractional)
Y 0.000 0.000 0.000
Y 0.333 0.667 0.714
Zr 0.000 0.000 0.481
Zr 0.667 0.333 0.289
Au 0.333 0.667 0.248
Au 0.667 0.333 0.752

DFT (PBE) results for a geometry-optimized YZr2Au structure.

Properties
Its distance to the lowest polymorph of the same formula is 269.4 meV/atom. The final energy is -6.76 eV/atom. The formation energy comes out at -0.05 eV/atom. The magnetic moment comes out at 0.0 μB per formula unit. Its crystal system is trigonal.

Cell: 3.308 3.308 30.189 Å, 90.00 90.00 120.00°
Element x y z (fractional)
Y 0.000 0.000 0.000
Y 0.333 0.667 0.667
Y 0.667 0.333 0.333
Zr 0.000 0.000 0.242
Zr 0.000 0.000 0.758
Zr 0.333 0.667 0.425
Zr 0.333 0.667 0.908
Zr 0.667 0.333 0.092
Zr 0.667 0.333 0.575
Au 0.000 0.000 0.500
Au 0.333 0.667 0.167
Au 0.667 0.333 0.833

DFT (PBE) results for a geometry-optimized Y2ZrAu2 structure.

Properties
Its distance to the lowest polymorph of the same formula is 189.0 meV/atom. The final energy is -5.99 eV/atom. The formation energy comes out at -0.38 eV/atom. The magnetic moment comes out at 1.6 μB per formula unit. Its crystal system is tetragonal.

Cell: 8.327 8.327 3.456 Å, 90.00 90.00 90.00°
Element x y z (fractional)
Y 0.151 0.349 0.000
Y 0.349 0.849 0.000
Y 0.651 0.151 0.000
Y 0.849 0.651 0.000
Zr 0.000 0.000 0.000
Zr 0.500 0.500 0.000
Au 0.147 0.647 0.500
Au 0.353 0.147 0.500
Au 0.647 0.853 0.500
Au 0.853 0.353 0.500

DFT (PBE) results for a geometry-optimized Y2ZrAu structure.

Properties
Its distance to the lowest polymorph of the same formula is 167.3 meV/atom. The final energy is -6.39 eV/atom. The formation energy comes out at -0.20 eV/atom. The magnetic moment comes out at 0.0 μB per formula unit. Its crystal system is orthorhombic.

Cell: 3.734 5.152 10.527 Å, 90.00 90.00 90.00°
Element x y z (fractional)
Y 0.000 0.000 0.219
Y 0.000 0.000 0.781
Y 0.500 0.500 0.281
Y 0.500 0.500 0.719
Zr 0.000 0.500 0.000
Zr 0.500 0.000 0.500
Au 0.000 0.500 0.500
Au 0.500 0.000 0.000

DFT (PBE) results for a geometry-optimized YZr2Au structure.

Properties
Its distance to the lowest polymorph of the same formula is 142.4 meV/atom. The final energy is -6.89 eV/atom. The formation energy comes out at -0.18 eV/atom. The magnetic moment comes out at 0.0 μB per formula unit. Its crystal system is orthorhombic.

Cell: 3.592 4.803 5.303 Å, 90.00 90.00 90.00°
Element x y z (fractional)
Y 0.000 0.000 0.000
Zr 0.000 0.500 0.500
Zr 0.500 0.000 0.500
Au 0.500 0.500 0.000

DFT (PBE) results for a geometry-optimized YZrAu structure.

Properties
Its distance to the lowest polymorph of the same formula is 21.1 meV/atom. The final energy is -6.58 eV/atom. The formation energy comes out at -0.49 eV/atom. The magnetic moment comes out at 0.0 μB per formula unit. Its crystal system is orthorhombic.

Cell: 7.491 4.715 8.246 Å, 90.00 90.00 90.00°
Element x y z (fractional)
Y 0.020 0.250 0.175
Y 0.480 0.750 0.675
Y 0.520 0.250 0.325
Y 0.980 0.750 0.825
Zr 0.150 0.250 0.579
Zr 0.350 0.750 0.079
Zr 0.650 0.250 0.921
Zr 0.850 0.750 0.421
Au 0.221 0.750 0.397
Au 0.279 0.250 0.897
Au 0.721 0.750 0.103
Au 0.779 0.250 0.603

DFT (PBE) results for a geometry-optimized YZrAu structure.

Properties
Its distance to the lowest polymorph of the same formula is 1671.4 meV/atom. The final energy is -4.93 eV/atom. The formation energy comes out at 1.16 eV/atom. The magnetic moment comes out at 1.2 μB per formula unit. Its crystal system is hexagonal.

Cell: 4.654 4.654 11.365 Å, 90.00 90.00 120.00°
Element x y z (fractional)
Y 0.000 0.000 0.250
Y 0.000 0.000 0.750
Zr 0.000 0.000 0.000
Zr 0.000 0.000 0.500
Au 0.333 0.667 0.250
Au 0.667 0.333 0.750

DFT (PBE) results for a geometry-optimized YZr3Au structure.

Properties
Its distance to the lowest polymorph of the same formula is 974.6 meV/atom. The final energy is -5.67 eV/atom. The formation energy comes out at 1.40 eV/atom. The magnetic moment comes out at 0.0 μB per formula unit. Its crystal system is cubic.

Cell: 5.122 5.122 5.122 Å, 90.00 90.00 90.00°
Element x y z (fractional)
Y 0.000 0.000 0.000
Zr 0.000 0.000 0.500
Zr 0.000 0.500 0.000
Zr 0.500 0.000 0.000
Au 0.500 0.500 0.500

DFT (PBE) results for a geometry-optimized Y3ZrAu structure.

Properties
Its distance to the lowest polymorph of the same formula is 402.6 meV/atom. The final energy is -5.61 eV/atom. The formation energy comes out at 0.63 eV/atom. The magnetic moment comes out at 0.0 μB per formula unit. Its crystal system is cubic.

Cell: 5.438 5.438 5.438 Å, 90.00 90.00 90.00°
Element x y z (fractional)
Y 0.000 0.000 0.500
Y 0.000 0.500 0.000
Y 0.500 0.000 0.000
Zr 0.000 0.000 0.000
Au 0.500 0.500 0.500

DFT (PBE) results for a geometry-optimized YZr2Au2 structure.

Properties
Its distance to the lowest polymorph of the same formula is 155.6 meV/atom. The final energy is -6.31 eV/atom. The formation energy comes out at -0.29 eV/atom. The magnetic moment comes out at 0.8 μB per formula unit. Its crystal system is tetragonal.

Cell: 8.158 8.158 3.331 Å, 90.00 90.00 90.00°
Element x y z (fractional)
Y 0.000 0.000 0.000
Y 0.500 0.500 0.000
Zr 0.157 0.343 0.000
Zr 0.343 0.843 0.000
Zr 0.657 0.157 0.000
Zr 0.843 0.657 0.000
Au 0.139 0.639 0.500
Au 0.361 0.139 0.500
Au 0.639 0.861 0.500
Au 0.861 0.361 0.500

DFT (PBE) results for a geometry-optimized Y2ZrAu structure.

Properties
Its distance to the lowest polymorph of the same formula is 250.6 meV/atom. The final energy is -6.31 eV/atom. The formation energy comes out at -0.12 eV/atom. The magnetic moment comes out at 3.0 μB per formula unit. Its crystal system is cubic.

Cell: 7.370 7.370 7.370 Å, 90.00 90.00 90.00°
Element x y z (fractional)
Y 0.250 0.250 0.250
Y 0.250 0.250 0.750
Y 0.250 0.750 0.250
Y 0.250 0.750 0.750
Y 0.750 0.250 0.250
Y 0.750 0.250 0.750
Y 0.750 0.750 0.250
Y 0.750 0.750 0.750
Zr 0.000 0.000 0.000
Zr 0.000 0.500 0.500
Zr 0.500 0.000 0.500
Zr 0.500 0.500 0.000
Au 0.000 0.000 0.500
Au 0.000 0.500 0.000
Au 0.500 0.000 0.000
Au 0.500 0.500 0.500

DFT (PBE) results for a geometry-optimized YZr2Au2 structure.

Properties
Its distance to the lowest polymorph of the same formula is 79.3 meV/atom. The final energy is -6.39 eV/atom. The formation energy comes out at -0.37 eV/atom. The magnetic moment comes out at 0.0 μB per formula unit. Its crystal system is tetragonal.

Cell: 4.113 4.113 13.782 Å, 90.00 90.00 90.00°
Element x y z (fractional)
Y 0.000 0.000 0.000
Y 0.500 0.500 0.500
Zr 0.000 0.500 0.250
Zr 0.000 0.500 0.750
Zr 0.500 0.000 0.250
Zr 0.500 0.000 0.750
Au 0.000 0.000 0.401
Au 0.000 0.000 0.599
Au 0.500 0.500 0.099
Au 0.500 0.500 0.901

DFT (PBE) results for a geometry-optimized YZr3Au structure.

Properties
Its distance to the lowest polymorph of the same formula is 0.0 meV/atom. The final energy is -6.65 eV/atom. The formation energy comes out at 0.43 eV/atom. The magnetic moment comes out at 0.0 μB per formula unit. Its crystal system is cubic.

Cell: 5.239 5.239 5.239 Å, 90.00 90.00 90.00°
Element x y z (fractional)
Y 0.000 0.000 0.000
Zr 0.000 0.500 0.500
Zr 0.500 0.000 0.500
Zr 0.500 0.500 0.000
Au 0.500 0.500 0.500

DFT (PBE) results for a geometry-optimized YZr2Au structure.

Properties
Its distance to the lowest polymorph of the same formula is 105.0 meV/atom. The final energy is -6.93 eV/atom. The formation energy comes out at -0.22 eV/atom. The magnetic moment comes out at 0.0 μB per formula unit. Its crystal system is monoclinic.

Cell: 3.469 4.531 6.311 Å, 90.00 105.88 90.00°
Element x y z (fractional)
Y 0.000 0.000 0.000
Zr 0.261 0.000 0.524
Zr 0.674 0.500 0.348
Au 0.412 0.500 0.823

DFT (PBE) results for a geometry-optimized YZr2Au structure.

Properties
Its distance to the lowest polymorph of the same formula is 275.0 meV/atom. The final energy is -6.76 eV/atom. The formation energy comes out at -0.05 eV/atom. The magnetic moment comes out at 0.0 μB per formula unit. Its crystal system is tetragonal.

Cell: 5.109 5.109 3.441 Å, 90.00 90.00 90.00°
Element x y z (fractional)
Y 0.000 0.000 0.000
Zr 0.000 0.500 0.500
Zr 0.500 0.000 0.500
Au 0.500 0.500 0.000

DFT (PBE) results for a geometry-optimized YZrAu structure.

Properties
Its distance to the lowest polymorph of the same formula is 168.5 meV/atom. The final energy is -6.44 eV/atom. The formation energy comes out at -0.34 eV/atom. The magnetic moment comes out at 0.0 μB per formula unit. Its crystal system is orthorhombic.

Cell: 4.898 8.532 6.720 Å, 90.00 90.00 90.00°
Element x y z (fractional)
Y 0.000 0.000 0.000
Y 0.000 0.000 0.500
Y 0.500 0.500 0.000
Y 0.500 0.500 0.500
Zr 0.000 0.333 0.250
Zr 0.000 0.667 0.750
Zr 0.500 0.167 0.750
Zr 0.500 0.833 0.250
Au 0.000 0.334 0.750
Au 0.000 0.666 0.250
Au 0.500 0.166 0.250
Au 0.500 0.834 0.750